A plane-wave DFT calculation with PBE-GGA was carried out for a relaxed Ac3PmOs2N6 crystal.

Values from the calculation:
**Symmetry**: P-3m1, No. 164
**VASP energy**: -96.58 eV per cell
**Uncorrected formation energy**: -0.591 eV per atom

Lattice parameters (Å, degrees): 6.1207 6.1207 6.9214 90.00 90.00 120.00
Closest atoms and distances in Å follow each position.
Fractional positions:
1 Pm 0.0000 0.0000 0.5000  6 N 2.37
2 N 0.8277 0.6554 0.7190  1 Os 1.84
3 N 0.6554 0.8277 0.2810  1 Os 1.84
4 N 0.8277 0.1723 0.7190  1 Os 1.84
5 N 0.1723 0.3446 0.2810  1 Os 1.84
6 N 0.3446 0.1723 0.7190  1 Os 1.84
7 N 0.1723 0.8277 0.2810  1 Os 1.84
8 Ac 0.0000 0.0000 0.0000  6 N 2.67
9 Ac 0.6667 0.3333 0.3032  9 N 3.06-3.35, 1 Os 3.34
10 Ac 0.3333 0.6667 0.6968  9 N 3.06-3.35, 1 Os 3.34
11 Os 0.3333 0.6667 0.1798  3 N 1.84
12 Os 0.6667 0.3333 0.8202  3 N 1.84


A plane-wave DFT calculation with PBE-GGA was carried out for a relaxed Ac2PmOs2N6 crystal.

Values from the calculation:
**Symmetry**: R-3m, No. 166
**VASP energy**: -91.16 eV per cell
**Uncorrected formation energy**: -0.525 eV per atom

Lattice parameters (Å, degrees): 5.8744 5.8744 7.1350 65.69 65.69 60.00
Closest atoms and distances in Å follow each position.
Fractional positions:
1 N 0.2608 0.7687 0.7097  1 Os 1.81
2 N 0.7392 0.2313 0.2903  1 Os 1.81
3 N 0.2313 0.7392 0.2903  1 Os 1.81
4 N 0.7392 0.7392 0.2903  1 Os 1.81
5 N 0.2608 0.2608 0.7097  1 Os 1.81
6 N 0.7687 0.2608 0.7097  1 Os 1.81
7 Ac 0.2117 0.2117 0.3649  9 N 2.73-2.97
8 Ac 0.7883 0.7883 0.6351  9 N 2.73-2.97
9 Os 0.4004 0.4004 0.7989  3 N 1.81
10 Os 0.5996 0.5996 0.2011  3 N 1.81
11 Pm 0.0000 0.0000 0.0000  6 N 2.47


A plane-wave DFT calculation with PBE-GGA was carried out for a relaxed Ac2PrOs2N6 crystal.

Values from the calculation:
**Symmetry**: R-3m, No. 166
**VASP energy**: -90.97 eV per cell
**Uncorrected formation energy**: -0.506 eV per atom

Lattice parameters (Å, degrees): 5.8826 5.8826 7.2026 65.90 65.90 60.00
Closest atoms and distances in Å follow each position.
Fractional positions:
1 Os 0.5982 0.5982 0.2054  3 N 1.81
2 Os 0.4018 0.4018 0.7946  3 N 1.81
3 N 0.2627 0.2627 0.7055  1 Os 1.81
4 N 0.7373 0.2310 0.2945  1 Os 1.81
5 N 0.2310 0.7373 0.2945  1 Os 1.81
6 N 0.7690 0.2627 0.7055  1 Os 1.81
7 N 0.2627 0.7690 0.7055  1 Os 1.81
8 N 0.7373 0.7373 0.2945  1 Os 1.81
9 Pr 0.0000 0.0000 0.0000  6 N 2.51
10 Ac 0.2113 0.2113 0.3661  9 N 2.73-2.98
11 Ac 0.7887 0.7887 0.6339  9 N 2.73-2.98


A plane-wave DFT calculation with PBE-GGA was carried out for a relaxed Ac2PrOsN5 crystal.

Values from the calculation:
**Symmetry**: I4/mcm, No. 140
**VASP energy**: -143.56 eV per cell
**Uncorrected formation energy**: -0.658 eV per atom

Lattice parameters (Å, degrees): 7.0903 7.0903 7.7970 117.04 117.04 90.00
Closest atoms and distances in Å follow each position.
Fractional positions:
1 N 0.7017 0.2017 0.6945  1 Os 1.87
2 N 0.2017 0.9928 0.6945  1 Os 1.87
3 N 0.2983 0.7983 0.3055  1 Os 1.87
4 N 0.4928 0.7017 0.6945  1 Os 1.87
5 N 0.5072 0.2983 0.3055  1 Os 1.87
6 N 0.0000 0.0000 0.0000  4 Ac 2.61
7 N 0.9928 0.4928 0.6945  1 Os 1.87
8 N 0.5000 0.5000 0.0000  4 Ac 2.61
9 N 0.7983 0.0072 0.3055  1 Os 1.87
10 N 0.0072 0.5072 0.3055  1 Os 1.87
11 Ac 0.3231 0.8231 0.0000  4 N 2.55-2.61
12 Ac 0.6769 0.1769 0.0000  4 N 2.55-2.61
13 Ac 0.1769 0.3231 0.0000  4 N 2.55-2.61
14 Ac 0.8231 0.6769 0.0000  4 N 2.55-2.61
15 Pr 0.2500 0.2500 0.5000  10 N 2.95-2.99
16 Pr 0.7500 0.7500 0.5000  10 N 2.95-2.99
17 Os 0.2500 0.7500 0.5000  4 N 1.87
18 Os 0.7500 0.2500 0.5000  4 N 1.87


A plane-wave DFT calculation with PBE-GGA was carried out for a relaxed AcPr2OsN5 crystal.

Values from the calculation:
**Symmetry**: I4/mcm, No. 140
**VASP energy**: -147.67 eV per cell
**Uncorrected formation energy**: -0.812 eV per atom

Lattice parameters (Å, degrees): 6.9617 6.9617 7.6368 117.12 117.12 90.00
Closest atoms and distances in Å follow each position.
Fractional positions:
1 N 0.2875 0.7875 0.2898  1 Os 1.86
2 N 0.0023 0.5023 0.2898  1 Os 1.86
3 N 0.0000 0.0000 0.0000  4 Pr 2.56
4 N 0.9977 0.4977 0.7102  1 Os 1.86
5 N 0.7875 0.0023 0.2898  1 Os 1.86
6 N 0.2125 0.9977 0.7102  1 Os 1.86
7 N 0.4977 0.7125 0.7102  1 Os 1.86
8 N 0.5000 0.5000 0.0000  4 Pr 2.56
9 N 0.5023 0.2875 0.2898  1 Os 1.86
10 N 0.7125 0.2125 0.7102  1 Os 1.86
11 Ac 0.2500 0.2500 0.5000  10 N 2.92-2.95
12 Ac 0.7500 0.7500 0.5000  10 N 2.92-2.95
13 Pr 0.6770 0.1770 0.0000  4 N 2.45-2.56
14 Pr 0.8230 0.6770 0.0000  4 N 2.45-2.56
15 Pr 0.1770 0.3230 0.0000  4 N 2.45-2.56
16 Pr 0.3230 0.8230 0.0000  4 N 2.45-2.56
17 Os 0.2500 0.7500 0.5000  4 N 1.86
18 Os 0.7500 0.2500 0.5000  4 N 1.86


A plane-wave DFT calculation with PBE-GGA was carried out for a relaxed AcPr2Os2N6 crystal.

Values from the calculation:
**Symmetry**: R-3m, No. 166
**VASP energy**: -90.34 eV per cell
**Uncorrected formation energy**: -0.387 eV per atom

Lattice parameters (Å, degrees): 5.8272 5.8272 7.2713 66.38 66.38 60.00
Closest atoms and distances in Å follow each position.
Fractional positions:
1 Os 0.4070 0.4070 0.7789  3 N 1.81
2 Os 0.5930 0.5930 0.2211  3 N 1.81
3 Pr 0.7960 0.7960 0.6121  3 N 2.55
4 Pr 0.2040 0.2040 0.3879  3 N 2.55
5 N 0.2237 0.7333 0.3096  1 Os 1.81
6 N 0.2667 0.2667 0.6904  1 Os 1.81
7 N 0.7763 0.2667 0.6904  1 Os 1.81
8 N 0.2667 0.7763 0.6904  1 Os 1.81
9 N 0.7333 0.2237 0.3096  1 Os 1.81
10 N 0.7333 0.7333 0.3096  1 Os 1.81
11 Ac 0.0000 0.0000 0.0000  6 N 2.59